No. 1
# CrAgS4

A geometry-optimized CrAgS4 structure (PBE, Alexandria).

Its total magnetization is 0.35 Bohr magnetons per cell. The calculated density comes out at 4.4 g/cm3. The value obtained for the energy relative to the elements, uncorrected is -49 meV per atom.

The space group is C2/c (No. 15) and the conventional cell measures 7.187, 11.331 and 5.951 Å, with angles of 90.00, 115.84 and 90.00 degrees. The distinct sites, in fractional coordinates, are Cr at (0.000, 0.000, 0.250), Ag at (0.000, 0.371, 0.250), S at (0.085, 0.156, 0.540) and S at (0.246, 0.429, 0.867).

No. 2
# CsLi2SCl

A geometry-optimized CsLi2SCl structure (PBE, Alexandria).

Its total magnetization is 0.00 Bohr magnetons per cell. The calculated density comes out at 2.6 g/cm3. The value obtained for the energy relative to the elements, uncorrected is -1483 meV per atom.

The space group is P2_1/m (No. 11) and the conventional cell measures 7.574, 4.330 and 8.563 Å, with angles of 90.00, 106.05 and 90.00 degrees. The distinct sites, in fractional coordinates, are Cs at (0.063, 0.250, 0.285), Li at (0.472, 0.250, 0.599), Li at (0.481, 0.750, 0.855), S at (0.324, 0.750, 0.579) and Cl at (0.338, 0.750, 0.078).

No. 3
# Tl4SbPt

A geometry-optimized Tl4SbPt structure (PBE, Alexandria).

Its total magnetization is 0.00 Bohr magnetons per cell. The calculated density comes out at 11.0 g/cm3. The value obtained for the energy relative to the elements, uncorrected is 490 meV per atom.

The space group is F-43m (No. 216) and the conventional cell measures 8.824, 8.824 and 8.824 Å, with angles of 90.00, 90.00 and 90.00 degrees. The distinct sites, in fractional coordinates, are Tl at (0.125, 0.125, 0.125), Sb at (0.000, 0.000, 0.500) and Pt at (0.250, 0.250, 0.750).

No. 4
# Cs3AuBr2

A geometry-optimized Cs3AuBr2 structure (PBE, Alexandria).

Its total magnetization is 0.00 Bohr magnetons per cell. The calculated density comes out at 4.1 g/cm3. The value obtained for the energy relative to the elements, uncorrected is -1298 meV per atom.

The space group is Immm (No. 71) and the conventional cell measures 5.218, 7.385 and 15.727 Å, with angles of 90.00, 90.00 and 90.00 degrees. The distinct sites, in fractional coordinates, are Cs at (0.000, 0.000, 0.000), Cs at (0.000, 0.000, 0.332), Au at (0.000, 0.500, 0.000) and Br at (0.000, 0.500, 0.333).

No. 5
# BaPbN2

A geometry-optimized BaPbN2 structure (PBE, Alexandria).

Its total magnetization is 0.00 Bohr magnetons per cell. The calculated density comes out at 7.4 g/cm3. The value obtained for the energy relative to the elements, uncorrected is 169 meV per atom.

The space group is I-42d (No. 122) and the conventional cell measures 6.384, 6.384 and 8.159 Å, with angles of 90.00, 90.00 and 90.00 degrees. The distinct sites, in fractional coordinates, are Ba at (0.000, 0.000, 0.000), Pb at (0.000, 0.000, 0.500) and N at (0.184, 0.250, 0.625).

No. 6
# KTaRu2

A geometry-optimized KTaRu2 structure (PBE, Alexandria).

The energy of formation from the pure elements is 1.4 eV/f.u. Its total magnetization is 0.99 Bohr magnetons per cell. The calculated density comes out at 8.5 g/cm3.

The space group is Pmmm (No. 47) and the conventional cell measures 3.133, 3.175 and 8.264 Å, with angles of 90.00, 90.00 and 90.00 degrees. The distinct sites, in fractional coordinates, are K at (0.000, 0.000, 0.000), Ta at (0.000, 0.000, 0.500) and Ru at (0.500, 0.500, 0.324).

No. 7
# PaSe2Cl

A geometry-optimized PaSe2Cl structure (PBE, Alexandria).

Its total magnetization is 0.00 Bohr magnetons per cell. The calculated density comes out at 6.3 g/cm3. The value obtained for the energy relative to the elements, uncorrected is -1017 meV per atom.

The space group is R-3m (No. 166, hexagonal axes) and the conventional cell measures 4.4581, 4.4581 and 19.6012 Å, with angles of 90.00, 90.00 and 120.00 degrees. The distinct sites, in fractional coordinates, are Pa at (0.0000, 0.0000, 0.0000), Se at (0.0000, 0.0000, 0.2738) and Cl at (0.0000, 0.0000, 0.5000).

No. 8
# Ba3Zn2ReO8

A geometry-optimized Ba3Zn2ReO8 structure (PBE, Alexandria).

Its total magnetization is 1.02 Bohr magnetons per cell. The calculated density comes out at 6.4 g/cm3. The value obtained for the energy relative to the elements, uncorrected is -1975 meV per atom.

The space group is P-3m1 (No. 164) and the conventional cell measures 5.7978, 5.7978 and 7.6332 Å, with angles of 90.00, 90.00 and 120.00 degrees. The distinct sites, in fractional coordinates, are Ba at (0.0000, 0.0000, 0.0000), Ba at (0.3333, 0.6667, 0.6588), Zn at (0.3333, 0.6667, 0.2135), Re at (0.0000, 0.0000, 0.5000), O at (0.1566, 0.3132, 0.3493) and O at (0.3333, 0.6667, 0.9739).

No. 9
# Tb5BiSb4

A geometry-optimized Tb5BiSb4 structure (PBE, Alexandria).

Its total magnetization is 0.00 Bohr magnetons per cell. The calculated density comes out at 8.1 g/cm3. The value obtained for the energy relative to the elements, uncorrected is -1094 meV per atom.

The space group is I4/m (No. 87) and the conventional cell measures 9.882, 9.882 and 6.250 Å, with angles of 90.00, 90.00 and 90.00 degrees. The distinct sites, in fractional coordinates, are Tb at (0.000, 0.000, 0.000), Tb at (0.101, 0.304, 0.500), Bi at (0.000, 0.000, 0.500) and Sb at (0.101, 0.300, 0.000).

No. 10
# SmSc2Bi

A geometry-optimized SmSc2Bi structure (PBE, Alexandria).

The energy of formation from the pure elements is 0.5 eV/f.u. Its total magnetization is 2.81 Bohr magnetons per cell. The calculated density comes out at 6.6 g/cm3.

The space group is R-3m (No. 166, hexagonal axes) and the conventional cell measures 3.3943, 3.3943 and 34.2345 Å, with angles of 90.00, 90.00 and 120.00 degrees. The distinct sites, in fractional coordinates, are Sm at (0.0000, 0.0000, 0.0000), Sc at (0.0000, 0.0000, 0.0938) and Bi at (0.0000, 0.0000, 0.5000).

No. 11
# Sm2PuPt

A geometry-optimized Sm2PuPt structure (PBE, Alexandria).

The energy of formation from the pure elements is -0.7 eV/f.u. Its total magnetization is 25.98 Bohr magnetons per cell. The calculated density comes out at 12.3 g/cm3.

The space group is Fm-3m (No. 225) and the conventional cell measures 7.363, 7.363 and 7.363 Å, with angles of 90.00, 90.00 and 90.00 degrees. The distinct sites, in fractional coordinates, are Sm at (0.250, 0.250, 0.250), Pu at (0.000, 0.000, 0.000) and Pt at (0.000, 0.000, 0.500).

No. 12
# SrAlSi2Br

A geometry-optimized SrAlSi2Br structure (PBE, Alexandria).

Its total magnetization is 0.00 Bohr magnetons per cell. The calculated density comes out at 3.0 g/cm3. The value obtained for the energy relative to the elements, uncorrected is 616 meV per atom.

The space group is P4/mmm (No. 123) and the conventional cell measures 5.176, 5.176 and 5.256 Å, with angles of 90.00, 90.00 and 90.00 degrees. The distinct sites, in fractional coordinates, are Sr at (0.000, 0.000, 0.000), Al at (0.500, 0.500, 0.000), Si at (0.000, 0.500, 0.500) and Br at (0.500, 0.500, 0.500).